Material: La4ZnOs
Method: DFT, PBE
State: optimized geometry

abc: 9.970 9.970 9.970
angles: 60.00 60.00 60.00
Positions (direct):
La 0.402 0.402 0.402
La 0.793 0.402 0.402
La 0.402 0.793 0.402
La 0.402 0.402 0.793
La 0.557 0.557 0.943
La 0.943 0.943 0.557
La 0.557 0.943 0.557
La 0.943 0.557 0.943
La 0.943 0.557 0.557
La 0.557 0.943 0.943
La 0.192 0.192 0.808
La 0.808 0.808 0.192
La 0.192 0.808 0.192
La 0.808 0.192 0.808
La 0.808 0.192 0.192
La 0.192 0.808 0.808
Zn 0.174 0.174 0.174
Zn 0.477 0.174 0.174
Zn 0.174 0.477 0.174
Zn 0.174 0.174 0.477
Os 0.612 0.612 0.612
Os 0.164 0.612 0.612
Os 0.612 0.164 0.612
Os 0.612 0.612 0.164

Output
density of states at the Fermi level	21.85	states/eV/cell
energy above the most stable polymorph in this dataset	0.0000	eV/atom
crystal system	cubic
volume	29.2	Å³/atom


Material: La5Zn2Os
Method: DFT, PBE
State: optimized geometry

abc: 4.827 8.152 12.025
angles: 90.00 90.00 90.00
Positions (direct):
La 0.000 0.000 0.500
La 0.000 0.500 0.000
La 0.000 0.850 0.203
La 0.000 0.150 0.797
La 0.000 0.650 0.703
La 0.000 0.350 0.297
La 0.500 0.684 0.426
La 0.500 0.316 0.574
La 0.500 0.816 0.926
La 0.500 0.184 0.074
Zn 0.500 0.569 0.163
Zn 0.500 0.431 0.837
Zn 0.500 0.931 0.663
Zn 0.500 0.069 0.337
Os 0.000 0.500 0.500
Os 0.000 0.000 0.000

Output
density of states at the Fermi level	20.91	states/eV/cell
final energy	-5.02	eV/atom
crystal system	orthorhombic
volume	29.6	Å³/atom


Material: LaZn3Os
Method: DFT, PBE
State: optimized geometry

abc: 4.805 4.805 4.805
angles: 90.00 90.00 90.00
Positions (direct):
Zn 0.000 0.500 0.000
Zn 0.000 0.000 0.500
Zn 0.500 0.000 0.000
Os 0.000 0.000 0.000
La 0.500 0.500 0.500

Output
density of states at the Fermi level	3.80	states/eV/cell
energy above the most stable polymorph in this dataset	0.0000	eV/atom
crystal system	cubic
volume	22.2	Å³/atom


Repeat the third record exactly.
Material: LaZn3Os
Method: DFT, PBE
State: optimized geometry

abc: 4.805 4.805 4.805
angles: 90.00 90.00 90.00
Positions (direct):
Zn 0.000 0.500 0.000
Zn 0.000 0.000 0.500
Zn 0.500 0.000 0.000
Os 0.000 0.000 0.000
La 0.500 0.500 0.500

Output
density of states at the Fermi level	3.80	states/eV/cell
energy above the most stable polymorph in this dataset	0.0000	eV/atom
crystal system	cubic
volume	22.2	Å³/atom